No. 1
Here is a geometry-optimized K2CaAg structure from Alexandria. Energies are from PBE.

Values from the calculation:
* crystal system: orthorhombic
* DOS at the Fermi energy: 1.96 states/eV per cell
* energy of formation: 233 meV/atom
* ΔE to the lowest computed polymorph: 248.3 meV per atom
* space-group type: Cmmm (65)

Cell and atoms, written as POSCAR:
```
K2CaAg
1.0
6.654 0.025 0.000
-2.874 6.001 0.000
0.000 0.000 4.324
Ag Ca K
1 1 2
Direct
0.500 0.000 0.500
0.000 0.500 0.500
0.000 0.000 0.000
0.500 0.500 0.000
```

=====

No. 2
Here is a geometry-optimized LiScAl2 structure from Alexandria. Energies are from PBE.

Values from the calculation:
* crystal system: monoclinic
* DOS at the Fermi energy: 2.11 states/eV per cell
* energy of formation: -92 meV/atom
* space-group type: C2/m (12)

Cell and atoms, written as POSCAR:
```
LiScAl2
1.0
-4.574 0.409 -1.465
-3.956 -2.422 -1.312
-2.411 -0.251 5.077
Al Li Sc
2 1 1
Direct
0.003 0.003 0.973
0.497 0.497 0.527
0.750 0.750 0.750
0.250 0.250 0.250
```

=====

No. 3
Here is a geometry-optimized DySc2Cd4 structure from Alexandria. Energies are from PBE.

Values from the calculation:
* crystal system: tetragonal
* DOS at the Fermi energy: 2.84 states/eV per cell
* energy of formation: -160 meV/atom
* space-group type: I4/mmm (139)

Cell and atoms, written as POSCAR:
```
DySc2Cd4
1.0
5.852 0.149 -1.968
-2.874 4.988 -2.237
0.086 -0.149 6.174
Dy Sc Cd
1 2 4
Direct
0.000 0.000 0.000
0.500 0.500 0.000
0.500 0.000 0.500
0.500 0.000 0.000
0.500 0.500 0.500
0.000 0.000 0.500
0.000 0.500 0.000
```

=====

No. 4
Here is a geometry-optimized Tb9Y2Er structure from Alexandria. Energies are from PBE.

Values from the calculation:
* crystal system: tetragonal
* DOS at the Fermi energy: 18.11 states/eV per cell
* energy of formation: 20 meV/atom
* ΔE to the lowest computed polymorph: 0.0 meV per atom
* space-group type: P4/mmm (123)

Cell and atoms, written as POSCAR:
```
Tb9Y2Er
1.0
5.033 0.000 0.000
0.000 5.033 0.000
0.000 0.000 15.103
Tb Y Er
9 2 1
Direct
0.500 0.500 0.000
0.500 0.500 0.333
0.500 0.500 0.667
0.500 0.000 0.165
0.500 0.000 0.500
0.500 0.000 0.835
0.000 0.500 0.165
0.000 0.500 0.500
0.000 0.500 0.835
0.000 0.000 0.333
0.000 0.000 0.667
0.000 0.000 0.000
```

=====

No. 5
Here is a geometry-optimized AcEuYHo structure from Alexandria. Energies are from PBE.

Values from the calculation:
* crystal system: cubic
* DOS at the Fermi energy: 6.30 states/eV per cell
* energy of formation: 142 meV/atom
* space-group type: F-43m (216)

Cell and atoms, written as POSCAR:
```
AcEuYHo
1.0
5.935 0.000 0.000
2.968 5.140 0.000
2.968 1.713 4.846
Eu Y Ac Ho
1 1 1 1
Direct
0.500 0.500 0.500
0.750 0.750 0.750
0.000 0.000 0.000
0.250 0.250 0.250
```

=====

No. 6
Here is a geometry-optimized Cd2CoMo structure from Alexandria. Energies are from PBE.

Values from the calculation:
* crystal system: tetragonal
* DOS at the Fermi energy: 3.88 states/eV per cell
* energy of formation: 524 meV/atom
* ΔE to the lowest computed polymorph: 338.2 meV per atom
* space-group type: P4/mmm (123)

Cell and atoms, written as POSCAR:
```
Cd2CoMo
1.0
-3.780 0.806 0.876
-0.912 -0.089 -3.856
-0.830 -4.212 0.294
Cd Co Mo
2 1 1
Direct
0.000 0.000 0.000
0.500 0.500 0.000
0.500 0.000 0.500
0.000 0.500 0.500
```

=====

No. 7
Here is a geometry-optimized In2W structure from Alexandria. Energies are from PBE.

Values from the calculation:
* crystal system: orthorhombic
* DOS at the Fermi energy: 3.40 states/eV per cell
* energy of formation: 363 meV/atom
* space-group type: Cmcm (63)

Cell and atoms, written as POSCAR:
```
In2W
1.0
-1.170 -2.020 -6.565
1.454 -8.532 2.366
-4.355 -0.485 0.926
In W
8 4
Direct
0.221 0.354 0.250
0.221 0.646 0.750
0.779 0.354 0.250
0.779 0.646 0.750
0.721 0.854 0.250
0.721 0.146 0.750
0.279 0.854 0.250
0.279 0.146 0.750
0.000 0.080 0.250
0.000 0.920 0.750
0.500 0.580 0.250
0.500 0.420 0.750
```

=====

No. 8
Here is a geometry-optimized Nd4HgAu structure from Alexandria. Energies are from PBE.

Values from the calculation:
* crystal system: monoclinic
* DOS at the Fermi energy: 16.61 states/eV per cell
* energy of formation: -229 meV/atom
* space-group type: P2_1/c (14)

Cell and atoms, written as POSCAR:
```
Nd4HgAu
1.0
-3.271 -0.527 -6.164
-2.212 -7.299 1.798
-5.958 2.692 3.599
Nd Hg Au
8 2 2
Direct
0.892 0.652 0.154
0.608 0.152 0.846
0.331 0.336 0.340
0.169 0.836 0.660
0.108 0.348 0.846
0.392 0.848 0.154
0.669 0.664 0.660
0.831 0.164 0.340
0.000 0.000 0.000
0.500 0.500 0.000
0.500 0.000 0.500
0.000 0.500 0.500
```

=====

No. 9
Here is a geometry-optimized LiGdCuAu structure from Alexandria. Energies are from PBE.

Values from the calculation:
* crystal system: cubic
* DOS at the Fermi energy: 2.44 states/eV per cell
* energy of formation: -373 meV/atom
* space-group type: F-43m (216)

Cell and atoms, written as POSCAR:
```
LiGdCuAu
1.0
-4.411 -1.322 1.423
-2.854 -2.479 -2.989
-0.959 -4.640 0.879
Gd Au Cu Li
1 1 1 1
Direct
0.500 0.500 0.500
0.750 0.750 0.750
0.250 0.250 0.250
0.000 0.000 0.000
```

=====

No. 10
Here is a geometry-optimized La2ReAs2 structure from Alexandria. Energies are from PBE.

Values from the calculation:
* crystal system: tetragonal
* DOS at the Fermi energy: 12.27 states/eV per cell
* energy of formation: 105 meV/atom
* ΔE to the lowest computed polymorph: 208.0 meV per atom
* space-group type: P4/mbm (127)

Cell and atoms, written as POSCAR:
```
La2ReAs2
1.0
-2.581 0.021 -7.629
-7.610 -0.581 2.573
-0.263 3.882 0.100
Re As La
2 4 4
Direct
0.000 0.000 0.000
0.500 0.500 0.000
0.171 0.671 0.500
0.671 0.829 0.500
0.829 0.329 0.500
0.329 0.171 0.500
0.358 0.858 0.000
0.858 0.642 0.000
0.642 0.142 0.000
0.142 0.358 0.000
```

=====

No. 11
Here is a geometry-optimized FeSi2Au structure from Alexandria. Energies are from PBE.

Values from the calculation:
* crystal system: tetragonal
* DOS at the Fermi energy: 8.78 states/eV per cell
* raw formation energy: 0.1419 eV/atom
* ΔE to the lowest computed polymorph: 222.6 meV per atom
* space-group type: I-42d (122)

Cell and atoms, written as POSCAR:
```
FeSi2Au
1.0
3.944 0.000 0.000
0.000 3.944 0.000
1.972 1.972 7.812
Si Au Fe
4 2 2
Direct
0.574 0.125 0.250
0.176 0.625 0.250
0.375 0.426 0.750
0.875 0.824 0.750
0.000 0.000 0.000
0.750 0.250 0.500
0.500 0.500 0.000
0.250 0.750 0.500
```

=====

No. 12
Here is a geometry-optimized NdGdMgPb structure from Alexandria. Energies are from PBE.

Values from the calculation:
* crystal system: cubic
* DOS at the Fermi energy: 4.73 states/eV per cell
* energy of formation: -319 meV/atom
* space-group type: F-43m (216)

Cell and atoms, written as POSCAR:
```
NdGdMgPb
1.0
5.462 0.000 0.000
2.731 4.730 0.000
2.731 1.577 4.459
Pb Mg Gd Nd
1 1 1 1
Direct
0.500 0.500 0.500
0.000 0.000 0.000
0.250 0.250 0.250
0.750 0.750 0.750
```

=====

> Look up the DOS at the Fermi energy of the tenth one.

12.27 states/eV per cell

=====

Copy entry 2 word for word.
Here is a geometry-optimized LiScAl2 structure from Alexandria. Energies are from PBE.

Values from the calculation:
* crystal system: monoclinic
* DOS at the Fermi energy: 2.11 states/eV per cell
* energy of formation: -92 meV/atom
* space-group type: C2/m (12)

Cell and atoms, written as POSCAR:
```
LiScAl2
1.0
-4.574 0.409 -1.465
-3.956 -2.422 -1.312
-2.411 -0.251 5.077
Al Li Sc
2 1 1
Direct
0.003 0.003 0.973
0.497 0.497 0.527
0.750 0.750 0.750
0.250 0.250 0.250
```